KTi2BeZn: relaxed, PBE.

Cell and atoms, written as CIF:
```
data_KTi2BeZn
_chemical_formula_sum 'K1 Ti2 Be1 Zn1'
_cell_length_a 4.4920
_cell_length_b 4.4920
_cell_length_c 4.4839
_cell_angle_alpha 90.00
_cell_angle_beta 90.00
_cell_angle_gamma 90.00
_space_group_name_H-M_alt 'P 4/m m m'
_space_group_IT_number 123
_space_group_name_Hall '-P 4 2'
loop_
_atom_site_label
_atom_site_fract_x
_atom_site_fract_y
_atom_site_fract_z
K1 0.0000 0.0000 0.0000
Ti1 0.0000 0.5000 0.0000
Be1 0.0000 0.0000 0.5000
Zn1 0.5000 0.5000 0.5000
```

=====

SrAl2: relaxed, PBE.

Cell and atoms, written as CIF:
```
data_SrAl2
_chemical_formula_sum 'Sr2 Al4'
_cell_length_a 3.1734
_cell_length_b 8.5918
_cell_length_c 5.8612
_cell_angle_alpha 90.00
_cell_angle_beta 90.00
_cell_angle_gamma 90.00
_space_group_name_H-M_alt 'P n n m'
_space_group_IT_number 58
loop_
_space_group_symop_operation_xyz
'x,y,z'
'-x,-y,-z'
'-x,-y,z'
'x,y,-z'
'x+1/2,-y+1/2,-z+1/2'
'-x+1/2,y+1/2,z+1/2'
'-x+1/2,y+1/2,-z+1/2'
'x+1/2,-y+1/2,z+1/2'
loop_
_atom_site_label
_atom_site_fract_x
_atom_site_fract_y
_atom_site_fract_z
Sr1 0.0000 0.0000 0.0000
Al1 0.2167 0.3654 0.0000
```

=====

TcPbW2: relaxed, PBE.

Cell and atoms, written as CIF:
```
data_TcPbW2
_chemical_formula_sum 'Tc1 Pb1 W2'
_cell_length_a 3.1171
_cell_length_b 3.1171
_cell_length_c 7.4738
_cell_angle_alpha 90.00
_cell_angle_beta 90.00
_cell_angle_gamma 90.00
_space_group_name_H-M_alt 'P 4 m m'
_space_group_IT_number 99
loop_
_space_group_symop_operation_xyz
'x,y,z'
'-y,x,z'
'-x,-y,z'
'y,-x,z'
'-x,y,z'
'y,x,z'
'x,-y,z'
'-y,-x,z'
loop_
_atom_site_label
_atom_site_fract_x
_atom_site_fract_y
_atom_site_fract_z
Tc1 0.0000 0.0000 0.0000
Pb1 0.5000 0.5000 0.7142
W1 0.0000 0.0000 0.4180
W2 0.5000 0.5000 0.1959
```

=====

# BaPd2Cl | the Alexandria database | PBE | relaxed
data_BaPd2Cl
_chemical_formula_sum 'Ba4 Pd8 Cl4'
_cell_length_a 4.1818
_cell_length_b 4.1818
_cell_length_c 23.4147
_cell_angle_alpha 90.00
_cell_angle_beta 90.00
_cell_angle_gamma 90.00
_space_group_name_H-M_alt 'I -4 2 d'
_space_group_IT_number 122
_space_group_name_Hall 'I -4 2bw'
loop_
_atom_site_label
_atom_site_fract_x
_atom_site_fract_y
_atom_site_fract_z
Ba1 0.0000 0.0000 0.0000
Pd1 0.2275 0.2500 0.1250
Cl1 0.0000 0.0000 0.5000
# - Distance to the lowest polymorph of the same formula: 0 meV/atom

=====

# Dy4YPd2 | the Alexandria database | PBE | relaxed
data_Dy4YPd2
_chemical_formula_sum 'Dy12 Y3 Pd6'
_cell_length_a 3.9885
_cell_length_b 3.9885
_cell_length_c 44.5409
_cell_angle_alpha 90.00
_cell_angle_beta 90.00
_cell_angle_gamma 120.00
_space_group_name_H-M_alt 'R -3 m'
_space_group_IT_number 166
_space_group_name_Hall '-R 3 2"'
loop_
_atom_site_label
_atom_site_fract_x
_atom_site_fract_y
_atom_site_fract_z
Dy1 0.0000 0.0000 0.1040
Dy2 0.0000 0.0000 0.3019
Y1 0.0000 0.0000 0.5000
Pd1 0.0000 0.0000 0.4010
# - Distance to the lowest polymorph of the same formula: 80 meV/atom

=====

LiHfAlAu: relaxed, PBE.

Cell and atoms, written as CIF:
```
data_LiHfAlAu
_chemical_formula_sum 'Li4 Hf4 Al4 Au4'
_cell_length_a 6.5497
_cell_length_b 6.5497
_cell_length_c 6.5497
_cell_angle_alpha 90.00
_cell_angle_beta 90.00
_cell_angle_gamma 90.00
_space_group_name_H-M_alt 'F -4 3 m'
_space_group_IT_number 216
_space_group_name_Hall 'F -4 2 3'
loop_
_atom_site_label
_atom_site_fract_x
_atom_site_fract_y
_atom_site_fract_z
Li1 0.0000 0.0000 0.0000
Hf1 0.0000 0.0000 0.5000
Al1 0.2500 0.2500 0.7500
Au1 0.2500 0.2500 0.2500
```

=====

SmThPS: relaxed, PBE.

Cell and atoms, written as CIF:
```
data_SmThPS
_chemical_formula_sum 'Sm1 Th1 P1 S1'
_cell_length_a 4.0716
_cell_length_b 4.0716
_cell_length_c 5.7704
_cell_angle_alpha 90.00
_cell_angle_beta 90.00
_cell_angle_gamma 90.00
_space_group_name_H-M_alt 'P 4/m m m'
_space_group_IT_number 123
_space_group_name_Hall '-P 4 2'
loop_
_atom_site_label
_atom_site_fract_x
_atom_site_fract_y
_atom_site_fract_z
Sm1 0.0000 0.0000 0.0000
Th1 0.5000 0.5000 0.5000
P1 0.5000 0.5000 0.0000
S1 0.0000 0.0000 0.5000
```

=====

TlGa6O8: relaxed, PBE.

Cell and atoms, written as CIF:
```
data_TlGa6O8
_chemical_formula_sum 'Tl4 Ga24 O32'
_cell_length_a 9.6852
_cell_length_b 9.6852
_cell_length_c 9.6852
_cell_angle_alpha 90.00
_cell_angle_beta 90.00
_cell_angle_gamma 90.00
_space_group_name_H-M_alt 'F m -3 m'
_space_group_IT_number 225
_space_group_name_Hall '-F 4 2 3'
loop_
_atom_site_label
_atom_site_fract_x
_atom_site_fract_y
_atom_site_fract_z
Tl1 0.0000 0.0000 0.0000
Ga1 0.0000 0.2500 0.2500
O1 0.1456 0.1456 0.1456
```

=====

# RhWCl | the Alexandria database | PBE | relaxed
data_RhWCl
_chemical_formula_sum 'Rh4 W4 Cl4'
_cell_length_a 2.8551
_cell_length_b 5.1555
_cell_length_c 13.8107
_cell_angle_alpha 90.00
_cell_angle_beta 90.00
_cell_angle_gamma 90.00
_space_group_name_H-M_alt 'F m m 2'
_space_group_IT_number 42
_space_group_name_Hall 'F 2 -2'
loop_
_atom_site_label
_atom_site_fract_x
_atom_site_fract_y
_atom_site_fract_z
Rh1 0.0000 0.0000 0.0000
W1 0.0000 0.0000 0.6539
Cl1 0.0000 0.0000 0.3037
# - Distance to the lowest polymorph of the same formula: 242 meV/atom

=====

CaDy2Mg2: relaxed, PBE.

Cell and atoms, written as CIF:
```
data_CaDy2Mg2
_chemical_formula_sum 'Ca2 Dy4 Mg4'
_cell_length_a 3.7292
_cell_length_b 5.5480
_cell_length_c 14.4064
_cell_angle_alpha 90.00
_cell_angle_beta 97.46
_cell_angle_gamma 90.00
_space_group_name_H-M_alt 'P 1 21/m 1'
_space_group_IT_number 11
loop_
_space_group_symop_operation_xyz
'x,y,z'
'-x,-y,-z'
'-x,y+1/2,-z'
'x,-y+1/2,z'
loop_
_atom_site_label
_atom_site_fract_x
_atom_site_fract_y
_atom_site_fract_z
Ca1 0.1516 0.2500 0.3017
Dy1 0.0433 0.7500 0.0862
Dy2 0.2349 0.7500 0.4698
Mg1 0.3606 0.2500 0.7226
Mg2 0.4481 0.7500 0.8972
```

=====

SrAlGe2: relaxed, PBE.

Cell and atoms, written as CIF:
```
data_SrAlGe2
_chemical_formula_sum 'Sr4 Al4 Ge8'
_cell_length_a 7.1704
_cell_length_b 4.8171
_cell_length_c 11.0672
_cell_angle_alpha 90.00
_cell_angle_beta 90.00
_cell_angle_gamma 90.00
_space_group_name_H-M_alt 'P n m a'
_space_group_IT_number 62
loop_
_space_group_symop_operation_xyz
'x,y,z'
'-x,-y,-z'
'-x+1/2,-y,z+1/2'
'x+1/2,y,-z+1/2'
'x+1/2,-y+1/2,-z+1/2'
'-x+1/2,y+1/2,z+1/2'
'-x,y+1/2,-z'
'x,-y+1/2,z'
loop_
_atom_site_label
_atom_site_fract_x
_atom_site_fract_y
_atom_site_fract_z
Sr1 0.1399 0.2500 0.1331
Al1 0.0234 0.2500 0.6395
Ge1 0.1507 0.2500 0.4207
Ge2 0.1729 0.2500 0.8482
```

=====

# HfNiAg3 | the Alexandria database | PBE | relaxed
data_HfNiAg3
_chemical_formula_sum 'Hf1 Ni1 Ag3'
_cell_length_a 5.1651
_cell_length_b 5.1651
_cell_length_c 5.1651
_cell_angle_alpha 90.00
_cell_angle_beta 90.00
_cell_angle_gamma 90.00
_space_group_name_H-M_alt 'P m -3 m'
_space_group_IT_number 221
_space_group_name_Hall '-P 4 2 3'
loop_
_atom_site_label
_atom_site_fract_x
_atom_site_fract_y
_atom_site_fract_z
Hf1 0.0000 0.0000 0.0000
Ni1 0.5000 0.5000 0.5000
Ag1 0.0000 0.0000 0.5000
# - Distance to the lowest polymorph of the same formula: 833 meV/atom

=====

Mn2Tc2Sn: relaxed, PBE.

Cell and atoms, written as CIF:
```
data_Mn2Tc2Sn
_chemical_formula_sum 'Mn4 Tc4 Sn2'
_cell_length_a 3.8088
_cell_length_b 3.8088
_cell_length_c 10.9215
_cell_angle_alpha 90.00
_cell_angle_beta 90.00
_cell_angle_gamma 90.00
_space_group_name_H-M_alt 'I 4/m m m'
_space_group_IT_number 139
_space_group_name_Hall '-I 4 2'
loop_
_atom_site_label
_atom_site_fract_x
_atom_site_fract_y
_atom_site_fract_z
Mn1 0.0000 0.5000 0.2500
Tc1 0.0000 0.0000 0.1184
Sn1 0.0000 0.0000 0.5000
```

=====

Sc4Bi2N: relaxed, PBE.

Cell and atoms, written as CIF:
```
data_Sc4Bi2N
_chemical_formula_sum 'Sc8 Bi4 N2'
_cell_length_a 4.4423
_cell_length_b 4.4423
_cell_length_c 15.2177
_cell_angle_alpha 90.00
_cell_angle_beta 90.00
_cell_angle_gamma 90.00
_space_group_name_H-M_alt 'I 4/m m m'
_space_group_IT_number 139
_space_group_name_Hall '-I 4 2'
loop_
_atom_site_label
_atom_site_fract_x
_atom_site_fract_y
_atom_site_fract_z
Sc1 0.0000 0.0000 0.1482
Sc2 0.0000 0.5000 0.0000
Bi1 0.0000 0.0000 0.3511
N1 0.0000 0.0000 0.0000
```

=====

InCuBIr2: relaxed, PBE.

Cell and atoms, written as CIF:
```
data_InCuBIr2
_chemical_formula_sum 'In1 Cu1 B1 Ir2'
_cell_length_a 4.1546
_cell_length_b 4.1546
_cell_length_c 4.1066
_cell_angle_alpha 90.00
_cell_angle_beta 90.00
_cell_angle_gamma 90.00
_space_group_name_H-M_alt 'P 4/m m m'
_space_group_IT_number 123
_space_group_name_Hall '-P 4 2'
loop_
_atom_site_label
_atom_site_fract_x
_atom_site_fract_y
_atom_site_fract_z
In1 0.0000 0.0000 0.0000
Cu1 0.5000 0.5000 0.0000
B1 0.5000 0.5000 0.5000
Ir1 0.0000 0.5000 0.5000
```

=====

# Y2TlSe | the Alexandria database | PBE | relaxed
data_Y2TlSe
_chemical_formula_sum 'Y8 Tl4 Se4'
_cell_length_a 7.9588
_cell_length_b 7.9588
_cell_length_c 7.1033
_cell_angle_alpha 90.00
_cell_angle_beta 90.00
_cell_angle_gamma 90.00
_space_group_name_H-M_alt 'I -4 2 d'
_space_group_IT_number 122
_space_group_name_Hall 'I -4 2bw'
loop_
_atom_site_label
_atom_site_fract_x
_atom_site_fract_y
_atom_site_fract_z
Y1 0.2223 0.7500 0.1250
Tl1 0.0000 0.0000 0.5000
Se1 0.0000 0.0000 0.0000
# - Distance to the lowest polymorph of the same formula: 327 meV/atom

=====

Ir3Ru: relaxed, PBE.

Cell and atoms, written as CIF:
```
data_Ir3Ru
_chemical_formula_sum 'Ir6 Ru2'
_cell_length_a 9.0428
_cell_length_b 2.7292
_cell_length_c 4.7251
_cell_angle_alpha 90.00
_cell_angle_beta 99.95
_cell_angle_gamma 90.00
_space_group_name_H-M_alt 'C 1 2/m 1'
_space_group_IT_number 12
loop_
_space_group_symop_operation_xyz
'x,y,z'
'-x,-y,-z'
'-x,y,-z'
'x,-y,z'
'x+1/2,y+1/2,z'
'-x+1/2,-y+1/2,-z'
'-x+1/2,y+1/2,-z'
'x+1/2,-y+1/2,z'
loop_
_atom_site_label
_atom_site_fract_x
_atom_site_fract_y
_atom_site_fract_z
Ir1 0.0000 0.0000 0.0000
Ir2 0.2493 0.0000 0.7479
Ru1 0.0000 0.5000 0.5000
```

=====

Nb4Re3W: relaxed, PBE.

Cell and atoms, written as CIF:
```
data_Nb4Re3W
_chemical_formula_sum 'Nb4 Re3 W1'
_cell_length_a 3.2151
_cell_length_b 3.2151
_cell_length_c 12.8780
_cell_angle_alpha 90.00
_cell_angle_beta 90.00
_cell_angle_gamma 90.00
_space_group_name_H-M_alt 'P 4/m m m'
_space_group_IT_number 123
_space_group_name_Hall '-P 4 2'
loop_
_atom_site_label
_atom_site_fract_x
_atom_site_fract_y
_atom_site_fract_z
Nb1 0.0000 0.0000 0.1245
Nb2 0.0000 0.0000 0.3736
Re1 0.5000 0.5000 0.0000
Re2 0.5000 0.5000 0.2485
W1 0.5000 0.5000 0.5000
```

=====

# FeTc2Pt | the Alexandria database | PBE | relaxed
data_FeTc2Pt
_chemical_formula_sum 'Fe3 Tc6 Pt3'
_cell_length_a 2.7106
_cell_length_b 2.7106
_cell_length_c 26.4612
_cell_angle_alpha 90.00
_cell_angle_beta 90.00
_cell_angle_gamma 120.00
_space_group_name_H-M_alt 'R -3 m'
_space_group_IT_number 166
_space_group_name_Hall '-R 3 2"'
loop_
_atom_site_label
_atom_site_fract_x
_atom_site_fract_y
_atom_site_fract_z
Fe1 0.0000 0.0000 0.0000
Tc1 0.0000 0.0000 0.2552
Pt1 0.0000 0.0000 0.5000
# - Distance to the lowest polymorph of the same formula: 114 meV/atom

=====

LaNpPt10: relaxed, PBE.

Cell and atoms, written as CIF:
```
data_LaNpPt10
_chemical_formula_sum 'La1 Np1 Pt10'
_cell_length_a 4.4425
_cell_length_b 5.4133
_cell_length_c 9.3597
_cell_angle_alpha 90.00
_cell_angle_beta 90.00
_cell_angle_gamma 90.00
_space_group_name_H-M_alt 'P m m m'
_space_group_IT_number 47
loop_
_space_group_symop_operation_xyz
'x,y,z'
'-x,-y,-z'
'-x,-y,z'
'x,y,-z'
'x,-y,-z'
'-x,y,z'
'-x,y,-z'
'x,-y,z'
loop_
_atom_site_label
_atom_site_fract_x
_atom_site_fract_y
_atom_site_fract_z
La1 0.0000 0.0000 0.0000
Np1 0.0000 0.5000 0.5000
Pt1 0.0000 0.0000 0.3370
Pt2 0.0000 0.5000 0.1716
Pt3 0.5000 0.0000 0.5000
Pt4 0.5000 0.2521 0.2532
Pt5 0.5000 0.5000 0.0000
```

=====

Calculated density, 3.84, 2.94, 15.39, 6.26, 7.73, 9.68, 7.73, 5.49, 10.53, 4.65, 4.52, 6.76, 8.90, 6.77, 13.44, 6.81, 19.60, 13.90, 13.22, 17.16 Mg/m³ (same order as the records).
Calculated E_tot, -2.285, -2.786, -9.431, -4.098, -5.395, -5.071, -7.176, -4.984, -7.026, -2.913, -4.027, -3.188, -8.254, -6.873, -6.345, -5.445, -8.983, -11.550, -8.753, -7.123 eV per atom (same order as the records).